1.
{"formula": "NbGaRu", "functional": "PBE", "state": "relaxed", "ef_mev_per_atom": -241.5, "sg": "Pm (6)", "final_energy_ev_per_cell": -46.2, "n_ef_per_ev_atom": 0.843, "magmom_total_mub_per_fu": 0.00, "cell": [[4.468, 0.000, 0.000], [0.000, 3.084, 0.000], [-1.903, 0.000, 6.872]], "species": ["Nb", "Nb", "Ga", "Ga", "Ru", "Ru"], "frac_coords": [[0.000, 0.000, 0.000], [0.443, 0.000, 0.660], [0.644, 0.000, 0.308], [0.940, 0.500, 0.652], [0.147, 0.500, 0.323], [0.493, 0.500, 0.998]]}

2.
{"formula": "ScFeTe2", "functional": "PBE", "state": "relaxed", "e_form_raw_ev_per_atom": -0.201, "sg": "P4/mmm (123)", "final_energy_ev_per_cell": -21.9, "n_ef_per_ev_atom": 0.751, "magmom_total_mub_per_fu": 3.39, "cell": [[3.557, 0.000, 0.000], [0.000, 3.557, 0.000], [0.000, 0.000, 6.962]], "species": ["Sc", "Fe", "Te", "Te"], "frac_coords": [[0.000, 0.000, 0.000], [0.000, 0.000, 0.500], [0.500, 0.500, 0.253], [0.500, 0.500, 0.747]]}